[1]
This record from Alexandria via LeMat-Bulk describes Dy8PSe3S4 after structural relaxation. The functional is PBE-GGA.

**Total DFT energy (no corrections)**: -6.2096 eV/atom
**Calculated density**: 7.86 g cm⁻³
**Formation energy from raw total energies**: -1.8853 eV/atom

a b c (Å): 7.9695 7.9695 19.5444
angles (deg): 90.00 90.00 120.00
Space group R-3m (No. 166, hexagonal axes)
Inequivalent atoms, fractional coordinates:
Dy 0.0000 0.0000 0.2411
Dy 0.0166 0.5083 0.7539
P 0.0000 0.0000 0.0000
Se 0.0000 0.5000 0.0000
S 0.0000 0.0000 0.5000
S 0.0000 0.5000 0.5000

[2]
This record from Alexandria via LeMat-Bulk describes Dy8P3Se3S after structural relaxation. The functional is PBE-GGA.

**Total DFT energy (no corrections)**: -6.1744 eV/atom
**Calculated density**: 7.59 g cm⁻³
**Formation energy from raw total energies**: -1.6659 eV/atom

a b c (Å): 7.9738 7.9738 19.8132
angles (deg): 90.00 90.00 120.00
Space group R-3m (No. 166, hexagonal axes)
Inequivalent atoms, fractional coordinates:
Dy 0.0000 0.0000 0.2427
Dy 0.0033 0.5017 0.7558
P 0.0000 0.5000 0.5000
Se 0.0000 0.5000 0.0000
S 0.0000 0.0000 0.5000

[3]
This record from Alexandria via LeMat-Bulk describes Dy6PSe3S2 after structural relaxation. The functional is PBE-GGA.

**Total DFT energy (no corrections)**: -6.1733 eV/atom
**Calculated density**: 7.91 g cm⁻³
**Formation energy from raw total energies**: -1.8624 eV/atom

a b c (Å): 6.898 11.948 7.039
angles (deg): 90.00 109.03 90.00
Space group C2/m (No. 12)
Inequivalent atoms, fractional coordinates:
Dy 0.240 0.164 0.225
Dy 0.246 0.500 0.225
P 0.000 0.000 0.000
Se 0.000 0.167 0.500
Se 0.000 0.500 0.500
S 0.000 0.333 0.000

[4]
This record from Alexandria via LeMat-Bulk describes Dy4P2SeS after structural relaxation. The functional is PBE-GGA.

**Total DFT energy (no corrections)**: -6.4229 eV/atom
**Calculated density**: 7.54 g cm⁻³
**Formation energy from raw total energies**: -1.8178 eV/atom

a b c (Å): 5.651 5.651 11.348
angles (deg): 90.00 90.00 90.00
Space group I-4m2 (No. 119)
Inequivalent atoms, fractional coordinates:
Dy 0.000 0.000 0.241
Dy 0.000 0.500 0.505
P 0.000 0.000 0.000
P 0.000 0.500 0.750
Se 0.000 0.000 0.500
S 0.000 0.500 0.250